Below is a geometry-optimized TbTlIn2Br6 structure, with properties calculated at the PBE level.

Structure (CIF):
```
data_TbTlIn2Br6
_chemical_formula_sum 'Tb1 Tl1 In2 Br6'
_symmetry_space_group_name_H-M 'P 1'
_symmetry_Int_Tables_number 1
_cell_length_a 8.1357
_cell_length_b 8.1461
_cell_length_c 8.4203
_cell_angle_alpha 90.02
_cell_angle_beta 118.89
_cell_angle_gamma 119.95
loop_
_symmetry_equiv_pos_as_xyz
'x,y,z'
loop_
_atom_site_label
_atom_site_fract_x
_atom_site_fract_y
_atom_site_fract_z
Tb1 0.0000 0.0000 0.0000
Tl1 0.9800 0.4900 0.4706
In1 0.3849 0.6922 0.0778
In2 0.4033 0.2011 0.6051
Br1 0.1251 0.2402 0.7861
Br2 0.1585 0.3520 0.2574
Br3 0.4511 0.0985 0.2570
Br4 0.5456 0.8848 0.7866
Br5 0.9014 0.6610 0.7866
Br6 0.9058 0.8071 0.2580
```

Summary:
Uncorrected energy in eV per cell: -34.5
Crystal system: triclinic

=====

Below is a geometry-optimized ScPaNi6 structure, with properties calculated at the PBE level.

Structure (CIF):
```
data_ScPaNi6
_chemical_formula_sum 'Sc1 Pa1 Ni6'
_symmetry_space_group_name_H-M 'P -6 m 2'
_symmetry_Int_Tables_number 187
_symmetry_space_group_name_Hall 'P -6 2'
_cell_length_a 5.3335
_cell_length_b 5.3335
_cell_length_c 4.4010
_cell_angle_alpha 90.00
_cell_angle_beta 90.00
_cell_angle_gamma 120.00
loop_
_atom_site_label
_atom_site_fract_x
_atom_site_fract_y
_atom_site_fract_z
Sc1 0.0000 0.0000 0.0000
Pa1 0.6667 0.3333 0.5000
Ni1 0.0211 0.5106 0.0000
Ni2 0.1754 0.3508 0.5000
```

Summary:
Relative energy among the computed polymorphs in meV/atom: 0
Energy relative to the elements in kJ/mol of formula units: -370
Crystal system: hexagonal

=====

Below is a geometry-optimized Ti2Nb6Sn structure, with properties calculated at the PBE level.

Structure (CIF):
```
data_Ti2Nb6Sn
_chemical_formula_sum 'Ti2 Nb6 Sn1'
_symmetry_space_group_name_H-M 'P -1'
_symmetry_Int_Tables_number 2
_cell_length_a 4.7160
_cell_length_b 5.5390
_cell_length_c 7.2913
_cell_angle_alpha 67.73
_cell_angle_beta 71.23
_cell_angle_gamma 89.92
loop_
_symmetry_equiv_pos_as_xyz
'x,y,z'
'-x,-y,-z'
loop_
_atom_site_label
_atom_site_fract_x
_atom_site_fract_y
_atom_site_fract_z
Ti1 0.1208 0.0710 0.2591
Nb1 0.2302 0.6287 0.0396
Nb2 0.3370 0.1731 0.8247
Nb3 0.4448 0.7403 0.6095
Sn1 0.0000 0.5000 0.5000
```

Summary:
Relative energy among the computed polymorphs in meV/atom: 0
Energy relative to the elements in kJ/mol of formula units: -68
Crystal system: triclinic

=====

Below is a geometry-optimized Pr2YHo8 structure, with properties calculated at the PBE level.

Structure (CIF):
```
data_Pr2YHo8
_chemical_formula_sum 'Pr4 Y2 Ho16'
_symmetry_space_group_name_H-M 'C 1 2/m 1'
_symmetry_Int_Tables_number 12
_cell_length_a 9.0683
_cell_length_b 16.0813
_cell_length_c 5.9116
_cell_angle_alpha 90.00
_cell_angle_beta 123.34
_cell_angle_gamma 90.00
loop_
_symmetry_equiv_pos_as_xyz
'x,y,z'
'-x,-y,-z'
'-x,y,-z'
'x,-y,z'
'x+1/2,y+1/2,z'
'-x+1/2,-y+1/2,-z'
'-x+1/2,y+1/2,-z'
'x+1/2,-y+1/2,z'
loop_
_atom_site_label
_atom_site_fract_x
_atom_site_fract_y
_atom_site_fract_z
Pr1 0.0000 0.1931 0.0000
Y1 0.0000 0.5000 0.5000
Ho1 0.0000 0.2925 0.5000
Ho2 0.0706 0.0000 0.2964
Ho3 0.2140 0.3843 0.1746
```

Summary:
Relative energy among the computed polymorphs in meV/atom: 0
Energy relative to the elements in kJ/mol of formula units: 165
Crystal system: monoclinic

=====

Below is a geometry-optimized Tl3ZnSb2 structure, with properties calculated at the PBE level.

Structure (CIF):
```
data_Tl3ZnSb2
_chemical_formula_sum 'Tl12 Zn4 Sb8'
_symmetry_space_group_name_H-M 'I b a m'
_symmetry_Int_Tables_number 72
_symmetry_space_group_name_Hall '-I 2 2c'
_cell_length_a 6.9985
_cell_length_b 15.2816
_cell_length_c 6.9093
_cell_angle_alpha 90.00
_cell_angle_beta 90.00
_cell_angle_gamma 90.00
loop_
_atom_site_label
_atom_site_fract_x
_atom_site_fract_y
_atom_site_fract_z
Tl1 0.0000 0.0000 0.2500
Tl2 0.2353 0.1748 0.0000
Zn1 0.0000 0.5000 0.2500
Sb1 0.1994 0.3879 0.0000
```

Summary:
Uncorrected energy in eV per cell: -66.0
Crystal system: orthorhombic

=====

Below is a geometry-optimized PaZnSnPt structure, with properties calculated at the PBE level.

Structure (CIF):
```
data_PaZnSnPt
_chemical_formula_sum 'Pa4 Zn4 Sn4 Pt4'
_symmetry_space_group_name_H-M 'F -4 3 m'
_symmetry_Int_Tables_number 216
_symmetry_space_group_name_Hall 'F -4 2 3'
_cell_length_a 6.8866
_cell_length_b 6.8866
_cell_length_c 6.8866
_cell_angle_alpha 90.00
_cell_angle_beta 90.00
_cell_angle_gamma 90.00
loop_
_atom_site_label
_atom_site_fract_x
_atom_site_fract_y
_atom_site_fract_z
Pa1 0.0000 0.0000 0.0000
Zn1 0.2500 0.2500 0.7500
Sn1 0.0000 0.0000 0.5000
Pt1 0.2500 0.2500 0.2500
```

Summary:
Energy relative to the elements in kJ/mol of formula units: -188
Crystal system: cubic

=====

Below is a geometry-optimized CsV structure, with properties calculated at the PBE level.

Structure (CIF):
```
data_CsV
_chemical_formula_sum 'Cs8 V8'
_symmetry_space_group_name_H-M 'I 4/m'
_symmetry_Int_Tables_number 87
_symmetry_space_group_name_Hall '-I 4'
_cell_length_a 13.7850
_cell_length_b 13.7850
_cell_length_c 4.7920
_cell_angle_alpha 90.00
_cell_angle_beta 90.00
_cell_angle_gamma 90.00
loop_
_atom_site_label
_atom_site_fract_x
_atom_site_fract_y
_atom_site_fract_z
Cs1 0.0934 0.7715 0.0000
V1 0.0287 0.5636 0.5000
```

Summary:
Relative energy among the computed polymorphs in meV/atom: 0
Energy relative to the elements in kJ/mol of formula units: 164
Crystal system: tetragonal

=====

Below is a geometry-optimized Os2RhAu structure, with properties calculated at the PBE level.

Structure (CIF):
```
data_Os2RhAu
_chemical_formula_sum 'Os4 Rh2 Au2'
_symmetry_space_group_name_H-M 'I 4/m m m'
_symmetry_Int_Tables_number 139
_symmetry_space_group_name_Hall '-I 4 2'
_cell_length_a 3.8616
_cell_length_b 3.8616
_cell_length_c 8.0808
_cell_angle_alpha 90.00
_cell_angle_beta 90.00
_cell_angle_gamma 90.00
loop_
_atom_site_label
_atom_site_fract_x
_atom_site_fract_y
_atom_site_fract_z
Os1 0.0000 0.5000 0.2500
Rh1 0.0000 0.0000 0.0000
Au1 0.0000 0.0000 0.5000
```

Summary:
Relative energy among the computed polymorphs in meV/atom: 310
Energy relative to the elements in kJ/mol of formula units: 203
Crystal system: tetragonal